Compound: TlZnAsO
Source: OQMD
Functional: PBE-GGA
Structure: relaxed

```
TlZnAsO
1.0
4.2491 0.0000 0.0000
0.0000 4.2491 0.0000
0.0000 0.0000 9.2335
As O Tl Zn
2 2 2 2
Direct
0.7500 0.7500 0.3006
0.2500 0.2500 0.6994
0.7500 0.2500 0.0000
0.2500 0.7500 0.0000
0.7500 0.2500 0.5000
0.2500 0.7500 0.5000
0.7500 0.7500 0.0039
0.2500 0.2500 0.9961
```

energy above the most stable polymorph in this dataset	81	kJ/mol of formula units
volume	20.8	A^3/atom
crystal system	tetragonal
symmetry	P4/nmm